VASP calculation (GGA-PBE) on a geometry-optimized Pm2NiRu3 structure.

Unit cell a=5.395 b=5.395 c=5.395 alpha=58.88 beta=58.88 gamma=58.88
Atoms (fractional coordinates):
Pm 0.123 0.123 0.123
Pm 0.877 0.877 0.877
Ni 0.500 0.500 0.500
Ru 0.000 0.500 0.500
Ru 0.500 0.000 0.500
Ru 0.500 0.500 0.000

## Properties
Theoretical density = 10001 kg/m³
SG = R-3m
DFT total energy = -7.4355 eV/atom